1.
DFT (GGA-PBE) results for crystalline CePm2Y3N6 at its relaxed geometry.

a = 7.893 Å, b = 7.893 Å, c = 7.081 Å
α = 102.93°, β = 102.93°, γ = 25.91°
Fractional coordinates of all 12 atoms:
Ce 0.000 0.000 0.000
Pm 0.333 0.333 0.665
Pm 0.667 0.667 0.335
Y 0.000 0.000 0.500
Y 0.333 0.333 0.168
Y 0.667 0.667 0.832
N 0.164 0.164 0.075
N 0.164 0.164 0.588
N 0.498 0.498 0.246
N 0.502 0.502 0.754
N 0.836 0.836 0.412
N 0.836 0.836 0.925

Computed properties:
The total energy comes out at -8.641 eV per atom.

***

2.
DFT (GGA-PBE) results for crystalline Ce3Pm2YN6 at its relaxed geometry.

a = 6.181 Å, b = 6.181 Å, c = 6.168 Å
α = 99.62°, β = 99.62°, γ = 119.99°
Fractional coordinates of all 12 atoms:
Ce 0.000 0.000 0.000
Ce 0.334 0.666 0.000
Ce 0.666 0.334 0.000
Pm 0.167 0.833 0.500
Pm 0.833 0.167 0.500
Y 0.500 0.500 0.500
N 0.088 0.414 0.242
N 0.260 0.260 0.759
N 0.414 0.088 0.242
N 0.586 0.912 0.758
N 0.740 0.740 0.241
N 0.912 0.586 0.758

Computed properties:
The total energy comes out at -8.496 eV per atom.

***

3.
DFT (GGA-PBE) results for crystalline Ce2PmY3N6 at its relaxed geometry.

a = 6.114 Å, b = 6.114 Å, c = 6.109 Å
α = 99.59°, β = 99.59°, γ = 120.01°
Fractional coordinates of all 12 atoms:
Ce 0.167 0.833 0.000
Ce 0.833 0.167 0.000
Pm 0.500 0.500 0.000
Y 0.000 0.000 0.500
Y 0.333 0.667 0.500
Y 0.667 0.333 0.500
N 0.075 0.416 0.749
N 0.244 0.244 0.253
N 0.416 0.075 0.749
N 0.584 0.925 0.251
N 0.756 0.756 0.747
N 0.925 0.584 0.251

Computed properties:
The total energy comes out at -8.752 eV per atom.

***

4.
DFT (GGA-PBE) results for crystalline Ce2Pm3YN6 at its relaxed geometry.

a = 6.183 Å, b = 6.183 Å, c = 6.189 Å
α = 99.57°, β = 99.57°, γ = 120.01°
Fractional coordinates of all 12 atoms:
Ce 0.167 0.833 0.000
Ce 0.833 0.167 0.000
Pm 0.000 0.000 0.500
Pm 0.334 0.666 0.500
Pm 0.666 0.334 0.500
Y 0.500 0.500 0.000
N 0.085 0.421 0.763
N 0.244 0.244 0.239
N 0.421 0.085 0.763
N 0.579 0.915 0.237
N 0.756 0.756 0.761
N 0.915 0.579 0.237

Computed properties:
The total energy comes out at -8.395 eV per atom.

***

5.
DFT (GGA-PBE) results for crystalline CePmY2N4 at its relaxed geometry.

a = 6.109 Å, b = 3.536 Å, c = 6.114 Å
α = 90.00°, β = 109.32°, γ = 90.00°
Fractional coordinates of all 8 atoms:
Ce 0.000 0.000 0.000
Pm 0.000 0.500 0.500
Y 0.500 0.000 0.500
Y 0.500 0.500 0.000
N 0.252 0.500 0.246
N 0.253 0.000 0.758
N 0.747 0.000 0.242
N 0.748 0.500 0.754

Computed properties:
The total energy comes out at -8.694 eV per atom.

***

6.
DFT (GGA-PBE) results for crystalline CePmZnN3 at its relaxed geometry.

a = 7.178 Å, b = 3.450 Å, c = 7.558 Å
α = 90.00°, β = 97.21°, γ = 90.00°
Fractional coordinates of all 12 atoms:
Ce 0.191 0.250 0.176
Ce 0.809 0.750 0.824
Pm 0.185 0.250 0.637
Pm 0.815 0.750 0.363
Zn 0.404 0.750 0.902
Zn 0.596 0.250 0.098
N 0.125 0.750 0.868
N 0.148 0.750 0.392
N 0.466 0.750 0.180
N 0.534 0.250 0.820
N 0.852 0.250 0.608
N 0.875 0.250 0.132

Computed properties:
The total energy comes out at -7.022 eV per atom.

***

7.
DFT (GGA-PBE) results for crystalline Ce2PmZnN at its relaxed geometry.

a = 4.823 Å, b = 4.823 Å, c = 4.995 Å
α = 90.00°, β = 90.00°, γ = 90.00°
Fractional coordinates of all 5 atoms:
Ce 0.000 0.500 0.000
Ce 0.500 0.000 0.000
Pm 0.000 0.000 0.500
Zn 0.500 0.500 0.500
N 0.000 0.000 0.000

Computed properties:
The total energy comes out at -5.872 eV per atom.

***

8.
DFT (GGA-PBE) results for crystalline Ce2PmZr3N6 at its relaxed geometry.

a = 7.660 Å, b = 7.660 Å, c = 6.889 Å
α = 104.30°, β = 104.30°, γ = 25.46°
Fractional coordinates of all 12 atoms:
Ce 0.167 0.167 0.334
Ce 0.833 0.833 0.666
Pm 0.500 0.500 0.000
Zr 0.166 0.166 0.833
Zr 0.500 0.500 0.500
Zr 0.834 0.834 0.167
N 0.005 0.005 0.732
N 0.327 0.327 0.929
N 0.340 0.340 0.401
N 0.660 0.660 0.599
N 0.673 0.673 0.071
N 0.995 0.995 0.268

Computed properties:
The total energy comes out at -9.314 eV per atom.